Li3V2P4H2O16 | PBE+U | relaxed

Geometry as POSCAR:
```
Li3V2P4H2O16
1.0
-2.4845 5.4936 5.1137
1.2434 -5.1118 6.1255
11.9417 6.1955 2.8714
O P Li H V
48 12 9 6 6
Direct
0.9464 0.4448 0.6050 O
0.2116 0.8176 0.0958 O
0.5425 0.8101 0.7709 O
0.6166 0.4581 0.2375 O
0.2802 0.1730 0.0660 O
0.7893 0.1874 0.9037 O
0.3707 0.8346 0.2716 O
0.7373 0.6771 0.0916 O
0.3748 0.5455 0.0600 O
0.5463 0.6680 0.6027 O
0.9543 0.3319 0.2379 O
0.2239 0.9608 0.4298 O
0.7794 0.0710 0.2739 O
0.9013 0.9530 0.7601 O
0.2092 0.6733 0.9321 O
0.0534 0.5615 0.3948 O
0.5505 0.9374 0.3967 O
0.8899 0.8305 0.4265 O
0.7195 0.8336 0.9345 O
0.4602 0.3346 0.3950 O
0.3704 0.6881 0.4386 O
0.8845 0.6788 0.2647 O
0.8844 0.9526 0.0646 O
0.5693 0.9502 0.0964 O
0.7087 0.5507 0.7324 O
0.6280 0.1656 0.7281 O
0.1143 0.0546 0.9364 O
0.9573 0.1799 0.4012 O
0.0467 0.8259 0.5993 O
0.2192 0.9356 0.7287 O
0.0442 0.6730 0.7623 O
0.6275 0.3124 0.5636 O
0.4283 0.0521 0.9038 O
0.0980 0.0519 0.2397 O
0.9424 0.4595 0.9059 O
0.2894 0.4478 0.2676 O
0.4626 0.0425 0.6002 O
0.2630 0.4431 0.5723 O
0.7762 0.0375 0.5675 O
0.6258 0.4609 0.9414 O
0.7346 0.5573 0.4273 O
0.1143 0.3268 0.7358 O
0.2650 0.3272 0.9070 O
0.0964 0.1691 0.5810 O
0.7948 0.3313 0.0672 O
0.0609 0.5441 0.0941 O
0.3809 0.5473 0.7591 O
0.4607 0.1916 0.2281 O
0.2182 0.6510 0.0436 P
0.0559 0.8467 0.7114 P
0.7271 0.8511 0.0457 P
0.9445 0.1590 0.2896 P
0.8933 0.6575 0.3772 P
0.4548 0.3535 0.2855 P
0.7791 0.3553 0.9560 P
0.2761 0.1564 0.9550 P
0.1046 0.3452 0.6232 P
0.3805 0.8512 0.3806 P
0.5458 0.6477 0.7140 P
0.6204 0.1470 0.6186 P
0.8649 0.3749 0.4829 Li
0.9746 0.8733 0.1820 Li
0.3045 0.8683 0.8483 Li
0.6388 0.8580 0.5148 Li
0.2026 0.3673 0.1494 Li
0.7016 0.1331 0.1495 Li
0.0243 0.1319 0.8166 Li
0.7877 0.6344 0.8536 Li
0.1322 0.6276 0.5183 Li
0.0118 0.0098 0.9958 H
0.8039 0.5014 0.6756 H
0.1968 0.4992 0.3241 H
0.6404 0.9982 0.3420 H
0.4864 0.5094 0.0049 H
0.3628 0.0043 0.6556 H
0.1651 0.4980 0.8321 V
0.6663 0.0061 0.8334 V
0.0079 0.0046 0.5000 V
0.8312 0.5071 0.1672 V
0.4979 0.4947 0.4990 V
0.3348 0.9980 0.1672 V
```

Computed properties:
E ... -6.870 eV per atom
Calculated density ... 2.9 g/cm3
M_tot ... 9.0 Bohr magnetons per cell
Energy relative to the lowest polymorph listed for this composition ... 1 meV/atom
Crystal system ... triclinic